Here is crystalline Pr3MgCo at its relaxed geometry from the Alexandria database. Energies are from PBE.

Computed properties:
The space-group type is No. 221. The value obtained for the relative energy among the computed polymorphs is 5.7 kJ/mol of atoms.

Lattice parameters (Å, degrees): 5.397 5.397 5.397 90.00 90.00 90.00
Sites, in units of the cell vectors:
Pr 0.000 0.500 0.000
Pr 0.000 0.000 0.500
Pr 0.500 0.000 0.000
Mg 0.500 0.500 0.500
Co 0.000 0.000 0.000

---

Here is crystalline Pr2MgCo at its relaxed geometry from the Alexandria database. Energies are from PBE.

Computed properties:
The space-group type is No. 225. The value obtained for the relative energy among the computed polymorphs is 16.0 kJ/mol of atoms.

Lattice parameters (Å, degrees): 5.241 5.241 5.241 60.00 60.00 60.00
Each line ends with the local moment (μB).
Sites, in units of the cell vectors:
Pr 0.250 0.250 0.250  -0.14
Pr 0.750 0.750 0.750  -0.14
Mg 0.500 0.500 0.500  0.01
Co 0.000 0.000 0.000  1.17

---

Here is crystalline Pr4Mg3Co2 at its relaxed geometry from the Alexandria database. Energies are from PBE.

Computed properties:
The space-group type is No. 10.

Lattice parameters (Å, degrees): 3.864 7.674 8.416 70.21 90.00 90.00
Each line ends with the local moment (μB).
Sites, in units of the cell vectors:
Pr 0.500 0.096 0.775  -0.01
Pr 0.500 0.904 0.225  -0.01
Pr 0.500 0.604 0.681  -0.01
Pr 0.500 0.396 0.319  -0.01
Mg 0.000 0.294 0.997  0.00
Mg 0.000 0.706 0.003  0.00
Mg 0.000 0.000 0.500  0.00
Co 0.000 0.352 0.604  0.08
Co 0.000 0.648 0.396  0.08

---

Number 1: energy relative to the elements 0.03 eV per atom, energy -22.9 eV for the cell shown. Number 2: energy relative to the elements 0.10 eV per atom, energy -17.9 eV for the cell shown. Number 3: energy relative to the elements -0.10 eV per atom, energy -39.0 eV for the cell shown.